[1]
The following is a PBE calculation of InIr3N after structural relaxation, from Alexandria via LeMat-Bulk.

Output
For the density of states at the Fermi level, the calculation gives 7.6 states/eV per cell. The polymorph energy (0 for the lowest one) comes out at 2775.1 meV/atom. As for the uncorrected formation energy: 3.31 eV per atom. As for the space group: Pm-3m, No. 221. The total magnetic moment comes out at 5.66 μB/f.u.

abc: 4.9692 4.9692 4.9692
angles: 90.00 90.00 90.00
Last column: magnetic moment on the atom in μB.
Fractional coordinates of all 5 atoms:
In1 0.0000 0.0000 0.0000  -0.06
N1 0.5000 0.5000 0.5000  1.62
Ir1 0.0000 0.0000 0.5000  1.09
Ir2 0.5000 0.0000 0.0000  1.04
Ir3 0.0000 0.5000 0.0000  1.22

[2]
The following is a PBE calculation of LaHg4Pd2 after structural relaxation, from Alexandria via LeMat-Bulk.

Output
Its calculated formation energy is -325 meV per atom. For the density of states at the Fermi level, the calculation gives 2.3 states/eV per cell. As for the space group: Cmmm, No. 65. The total magnetic moment comes out at 0.00 μB/f.u.

abc: 4.1979 4.4001 9.1512
angles: 103.91 90.00 90.00
Fractional coordinates of all 7 atoms:
Pd1 0.5000 0.5732 0.1464
Pd2 0.5000 0.4268 0.8536
Hg1 0.5000 0.1719 0.3438
Hg2 0.0000 0.3178 0.6355
La1 0.0000 0.0000 0.0000
Hg3 0.0000 0.6822 0.3645
Hg4 0.5000 0.8281 0.6562

[3]
The following is a PBE calculation of CaBe2SnI after structural relaxation, from Alexandria via LeMat-Bulk.

Output
For the density of states at the Fermi level, the calculation gives 4.0 states/eV per cell. As for the uncorrected formation energy: 1.16 eV per atom. As for the space group: P4/mmm, No. 123. The total magnetic moment comes out at 0.00 μB/f.u.

abc: 5.4083 5.7574 5.4083
angles: 90.00 90.00 90.00
Fractional coordinates of all 5 atoms:
Sn1 0.5000 0.5000 0.5000
Be1 0.5000 0.0000 0.0000
Be2 0.0000 0.0000 0.5000
Ca1 0.0000 0.0000 0.0000
I1 0.0000 0.5000 0.0000

[4]
The following is a PBE calculation of VCr2B2 after structural relaxation, from Alexandria via LeMat-Bulk.

Output
Its calculated formation energy is -519 meV per atom. For the density of states at the Fermi level, the calculation gives 6.5 states/eV per cell. The polymorph energy (0 for the lowest one) comes out at 0.0 meV/atom. As for the space group: P4/mbm, No. 127. The total magnetic moment comes out at 0.00 μB/f.u.

abc: 5.6466 5.6466 2.8968
angles: 90.00 90.00 90.00
Fractional coordinates of all 10 atoms:
V1 0.0000 0.0000 0.0000
Cr1 0.3230 0.1770 0.5000
Cr2 0.8230 0.3230 0.5000
B1 0.6128 0.1128 0.0000
B2 0.1128 0.3872 0.0000
V2 0.5000 0.5000 0.0000
Cr3 0.1770 0.6770 0.5000
B3 0.8872 0.6128 0.0000
Cr4 0.6770 0.8230 0.5000
B4 0.3872 0.8872 0.0000

[5]
The following is a PBE calculation of MgRhCl2 after structural relaxation, from Alexandria via LeMat-Bulk.

Output
For the density of states at the Fermi level, the calculation gives 2.1 states/eV per cell. The polymorph energy (0 for the lowest one) comes out at 90.9 meV/atom. As for the uncorrected formation energy: -0.57 eV per atom. As for the space group: Amm2, No. 38. The total magnetic moment comes out at 0.47 μB/f.u.

abc: 3.3456 5.2896 5.2937
angles: 54.92 90.00 90.00
Last column: magnetic moment on the atom in μB.
Fractional coordinates of all 4 atoms:
Cl1 0.0000 0.9529 0.9526  0.04
Mg1 0.0000 0.5139 0.5130  -0.01
Rh1 0.5000 0.7455 0.7460  0.42
Cl2 0.5000 0.2878 0.2884  0.01

[6]
The following is a PBE calculation of CsMgTcGe2 after structural relaxation, from Alexandria via LeMat-Bulk.

Output
Its calculated formation energy is -5 meV per atom. For the density of states at the Fermi level, the calculation gives 0.9 states/eV per cell. The polymorph energy (0 for the lowest one) comes out at 0.0 meV/atom. As for the space group: P4/mmm, No. 123. The total magnetic moment comes out at 0.00 μB/f.u.

abc: 4.9011 4.9011 5.3458
angles: 90.00 90.00 90.00
Fractional coordinates of all 5 atoms:
Tc1 0.0000 0.0000 0.0000
Mg1 0.0000 0.0000 0.5000
Ge1 0.0000 0.5000 0.0000
Ge2 0.5000 0.0000 0.0000
Cs1 0.5000 0.5000 0.5000

[7]
The following is a PBE calculation of CaPrGd2 after structural relaxation, from Alexandria via LeMat-Bulk.

Output
Its calculated formation energy is 140 meV per atom. For the density of states at the Fermi level, the calculation gives 5.2 states/eV per cell. The polymorph energy (0 for the lowest one) comes out at 89.8 meV/atom. As for the space group: R-3m, No. 166. The total magnetic moment comes out at 15.00 μB/f.u.

abc: 3.5998 3.5998 12.8538
angles: 81.95 81.95 60.00
Last column: magnetic moment on the atom in μB.
Fractional coordinates of all 4 atoms:
Pr1 0.5000 0.5000 0.5000  -0.07
Gd1 0.0896 0.0896 0.7312  7.23
Gd2 0.9104 0.9104 0.2688  7.23
Ca1 0.0000 0.0000 0.0000  0.00

[8]
The following is a PBE calculation of Tm4CS2O after structural relaxation, from Alexandria via LeMat-Bulk.

Output
For the density of states at the Fermi level, the calculation gives 2.2 states/eV per cell. As for the uncorrected formation energy: -1.88 eV per atom. As for the space group: P2/m, No. 10. The total magnetic moment comes out at 0.00 μB/f.u.

abc: 3.6140 6.2113 6.4864
angles: 108.74 90.00 90.00
Fractional coordinates of all 8 atoms:
Tm1 0.0000 0.2531 0.7854
Tm2 0.5000 0.2329 0.2115
Tm3 0.0000 0.7469 0.2146
S1 0.0000 0.5000 0.5000
C1 0.0000 0.0000 0.0000
Tm4 0.5000 0.7671 0.7885
S2 0.5000 0.0000 0.5000
O1 0.5000 0.5000 0.0000

[9]
The following is a PBE calculation of BaLi2CaTl2 after structural relaxation, from Alexandria via LeMat-Bulk.

Output
Its calculated formation energy is -283 meV per atom. For the density of states at the Fermi level, the calculation gives 5.0 states/eV per cell. As for the space group: P-3m1, No. 164. The total magnetic moment comes out at 0.00 μB/f.u.

abc: 5.1490 5.1490 7.9114
angles: 90.00 90.00 120.00
Fractional coordinates of all 6 atoms:
Tl1 0.6667 0.3333 0.6982
Ca1 0.0000 0.0000 0.5000
Li1 0.6667 0.3333 0.3135
Ba1 0.0000 0.0000 0.0000
Li2 0.3333 0.6667 0.6865
Tl2 0.3333 0.6667 0.3018

[10]
The following is a PBE calculation of Li2CeMgIn4 after structural relaxation, from Alexandria via LeMat-Bulk.

Output
Its calculated formation energy is -243 meV per atom. For the density of states at the Fermi level, the calculation gives 9.2 states/eV per cell. As for the space group: R-3m, No. 166. The total magnetic moment comes out at 0.94 μB/f.u.

abc: 4.8671 4.8671 9.6424
angles: 75.38 75.38 60.00
Last column: magnetic moment on the atom in μB.
Fractional coordinates of all 8 atoms:
Ce1 0.0000 0.0000 0.0000  0.81
Mg1 0.5000 0.5000 0.5000  0.00
Li1 0.2396 0.2396 0.2812  0.00
In1 0.3915 0.3915 0.8256  0.01
In2 0.1224 0.1224 0.6327  0.00
In3 0.8776 0.8776 0.3673  0.00
In4 0.6085 0.6085 0.1744  0.01
Li2 0.7604 0.7604 0.7188  0.00

[11]
The following is a PBE calculation of HoAl6Au12 after structural relaxation, from Alexandria via LeMat-Bulk.

Output
Its calculated formation energy is -339 meV per atom. For the density of states at the Fermi level, the calculation gives 3.8 states/eV per cell. As for the space group: R-3m, No. 166. The total magnetic moment comes out at 0.00 μB/f.u.

abc: 7.5130 7.5130 7.5130
angles: 106.33 106.33 106.33
Fractional coordinates of all 19 atoms:
Au1 0.3723 0.3723 0.1261
Au2 0.6277 0.6277 0.8739
Al1 0.2838 0.6921 0.2838
Al2 0.3079 0.7162 0.7162
Al3 0.6921 0.2838 0.2838
Au3 0.6277 0.8739 0.6277
Au4 0.1197 0.5000 0.8803
Au5 0.8739 0.6277 0.6277
Au6 0.8803 0.5000 0.1197
Ho1 0.0000 0.0000 0.0000
Al4 0.2838 0.2838 0.6921
Au7 0.8803 0.1197 0.5000
Au8 0.1261 0.3723 0.3723
Al5 0.7162 0.3079 0.7162
Au9 0.5000 0.1197 0.8803
Au10 0.5000 0.8803 0.1197
Au11 0.3723 0.1261 0.3723
Au12 0.1197 0.8803 0.5000
Al6 0.7162 0.7162 0.3079

[12]
The following is a PBE calculation of HfSc2P3 after structural relaxation, from Alexandria via LeMat-Bulk.

Output
Its calculated formation energy is -1452 meV per atom. For the density of states at the Fermi level, the calculation gives 2.9 states/eV per cell. As for the space group: C2/m, No. 12. The total magnetic moment comes out at 0.00 μB/f.u.

abc: 6.4655 6.4655 6.4684
angles: 99.55 99.55 120.11
Fractional coordinates of all 12 atoms:
P1 0.4162 0.0842 0.2484
Hf1 0.9999 0.0001 0.0000
Sc1 0.4992 0.5008 0.5000
P2 0.7508 0.7495 0.2484
P3 0.5854 0.9187 0.7519
P4 0.0813 0.4146 0.2481
Hf2 0.6668 0.3332 0.0000
P5 0.2505 0.2492 0.7516
Sc2 0.1675 0.8325 0.5000
Sc3 0.8333 0.1667 0.5000
Sc4 0.3333 0.6667 0.0000
P6 0.9158 0.5838 0.7516